Record 1
Here is crystalline TlVI2O at its relaxed geometry from Alexandria via LeMat-Bulk. Energies are from GGA+U.

Geometry as POSCAR:
```
TlVI2O
1.0
5.992 0.000 0.000
0.000 5.992 0.000
0.000 0.000 3.790
Tl V I O
1 1 2 1
Direct
0.000 0.000 0.000
0.500 0.500 0.500
0.000 0.500 0.500
0.500 0.000 0.500
0.500 0.500 0.000
```

## Properties
- N(E_F): 0.24 states/eV/atom
- E: -4.330 eV per atom

=====

Record 2
Here is crystalline TlWIO2 at its relaxed geometry from Alexandria via LeMat-Bulk. Energies are from GGA+U.

Geometry as POSCAR:
```
TlWIO2
1.0
4.238 0.000 0.000
0.000 4.238 0.000
0.000 0.000 5.818
Tl W I O
1 1 1 2
Direct
0.000 0.000 0.000
0.500 0.500 0.500
0.500 0.500 0.000
0.000 0.500 0.500
0.500 0.000 0.500
```

## Properties
- N(E_F): 0.46 states/eV/atom
- E: -4.907 eV per atom

=====

The total magnetic moment results, record by record, are as follows: 2.0 2.0 μB/f.u..